A relaxed HfSc2Ni2 crystal, computed with GGA-PBEsol. Values from VASP.

```
&SYSTEM
  ibrav = 0, nat = 10, ntyp = 3
/
ATOMIC_SPECIES
Sc 44.96 Sc.upf
Hf 178.49 Hf.upf
Ni 58.69 Ni.upf
CELL_PARAMETERS angstrom
-1.7087 -2.8540 1.4425
4.1527 0.2613 5.4361
-4.3830 4.2141 3.1456
ATOMIC_POSITIONS crystal
Sc 0.5000 0.6652 0.8348
Hf 0.0000 0.5000 0.5000
Sc 0.5000 0.1652 0.6652
Hf 0.0000 0.0000 0.0000
Ni 0.0000 0.1295 0.3705
Ni 0.0000 0.6295 0.1295
Ni 0.0000 0.3705 0.8705
Sc 0.5000 0.8348 0.3348
Sc 0.5000 0.3348 0.1652
Ni 0.0000 0.8705 0.6295
```

Properties
- Final energy: -7.5410 eV per atom
- Space group: P4/mbm (127)